No. 1
ZnTcHg | PBE | relaxed Values from VASP.

Geometry as Quantum ESPRESSO input:
```
&SYSTEM
  ibrav = 0, nat = 6, ntyp = 3
/
ATOMIC_SPECIES
Zn 65.41 Zn.upf
Tc 98.00 Tc.upf
Hg 200.59 Hg.upf
CELL_PARAMETERS angstrom
2.8615 0.0000 0.0000
0.0000 2.8615 0.0000
0.0000 0.0000 12.5145
ATOMIC_POSITIONS crystal
Zn 0.0000 0.0000 0.0000
Zn 0.5000 0.5000 0.5000
Tc 0.0000 0.0000 0.6432
Tc 0.5000 0.5000 0.1432
Hg 0.0000 0.0000 0.3173
Hg 0.5000 0.5000 0.8173
```

- Relative energy among the computed polymorphs: 351.3 meV/atom
- N(E_F): 4.85 states/eV per cell
- ρ: 11.8 g/cm³
- DFT formation energy: 0.431 eV/atom
- Raw total energy: -3.550 eV/atom

=====

No. 2
Zn3TcHg | PBE | relaxed Values from VASP.

Geometry as Quantum ESPRESSO input:
```
&SYSTEM
  ibrav = 0, nat = 5, ntyp = 3
/
ATOMIC_SPECIES
Zn 65.41 Zn.upf
Tc 98.00 Tc.upf
Hg 200.59 Hg.upf
CELL_PARAMETERS angstrom
4.9370 0.0000 0.0000
0.0000 4.9370 0.0000
0.0000 0.0000 4.9370
ATOMIC_POSITIONS crystal
Zn 0.0000 0.0000 0.5000
Zn 0.0000 0.5000 0.0000
Zn 0.5000 0.0000 0.0000
Tc 0.0000 0.0000 0.0000
Hg 0.5000 0.5000 0.5000
```

- Relative energy among the computed polymorphs: 0.0 meV/atom
- N(E_F): 4.29 states/eV per cell
- ρ: 6.8 g/cm³
- DFT formation energy: 0.744 eV/atom
- Raw total energy: -2.154 eV/atom

=====

No. 3
Zn2TcHg | PBE | relaxed Values from VASP.

Geometry as Quantum ESPRESSO input:
```
&SYSTEM
  ibrav = 0, nat = 16, ntyp = 3
/
ATOMIC_SPECIES
Zn 65.41 Zn.upf
Tc 98.00 Tc.upf
Hg 200.59 Hg.upf
CELL_PARAMETERS angstrom
7.1274 0.0000 0.0000
0.0000 7.1274 0.0000
0.0000 0.0000 5.5871
ATOMIC_POSITIONS crystal
Zn 0.2399 0.2500 0.1250
Zn 0.2500 0.7399 0.3750
Zn 0.2500 0.7601 0.8750
Zn 0.2601 0.2500 0.6250
Zn 0.7399 0.7500 0.6250
Zn 0.7500 0.2399 0.8750
Zn 0.7500 0.2601 0.3750
Zn 0.7601 0.7500 0.1250
Tc 0.0000 0.0000 0.0000
Tc 0.0000 0.5000 0.2500
Tc 0.5000 0.0000 0.7500
Tc 0.5000 0.5000 0.5000
Hg 0.0000 0.0000 0.5000
Hg 0.0000 0.5000 0.7500
Hg 0.5000 0.0000 0.2500
Hg 0.5000 0.5000 0.0000
```

- N(E_F): 3.21 states/eV per cell
- ρ: 10.0 g/cm³
- DFT formation energy: 0.524 eV/atom
- Raw total energy: -2.780 eV/atom

=====

No. 4
ZnTcHg | PBE | relaxed Values from VASP.

Geometry as Quantum ESPRESSO input:
```
&SYSTEM
  ibrav = 0, nat = 3, ntyp = 3
/
ATOMIC_SPECIES
Zn 65.41 Zn.upf
Tc 98.00 Tc.upf
Hg 200.59 Hg.upf
CELL_PARAMETERS angstrom
4.5376 0.0000 0.0000
-2.2688 3.9296 0.0000
0.0000 0.0000 2.8047
ATOMIC_POSITIONS crystal
Zn 0.0000 0.0000 0.0000
Tc 0.6667 0.3333 0.5000
Hg 0.3333 0.6667 0.0000
```

- Relative energy among the computed polymorphs: 430.6 meV/atom
- N(E_F): 2.67 states/eV per cell
- ρ: 12.1 g/cm³
- DFT formation energy: 0.510 eV/atom
- Raw total energy: -3.471 eV/atom

=====

No. 5
ZnTcHg2 | PBE | relaxed Values from VASP.

Geometry as Quantum ESPRESSO input:
```
&SYSTEM
  ibrav = 0, nat = 12, ntyp = 3
/
ATOMIC_SPECIES
Zn 65.41 Zn.upf
Tc 98.00 Tc.upf
Hg 200.59 Hg.upf
CELL_PARAMETERS angstrom
3.0083 0.0000 0.0000
-1.5042 2.6053 0.0000
0.0000 0.0000 27.9975
ATOMIC_POSITIONS crystal
Zn 0.0000 0.0000 0.0000
Zn 0.3333 0.6667 0.6667
Zn 0.6667 0.3333 0.3333
Tc 0.0000 0.0000 0.5000
Tc 0.3333 0.6667 0.1667
Tc 0.6667 0.3333 0.8333
Hg 0.0000 0.0000 0.2500
Hg 0.0000 0.0000 0.7500
Hg 0.3333 0.6667 0.4166
Hg 0.3333 0.6667 0.9167
Hg 0.6667 0.3333 0.0833
Hg 0.6667 0.3333 0.5834
```

- N(E_F): 9.16 states/eV per cell
- ρ: 12.8 g/cm³
- DFT formation energy: 0.512 eV/atom
- Raw total energy: -2.549 eV/atom

=====

No. 6
ZnTcHg2 | PBE | relaxed Values from VASP.

Geometry as Quantum ESPRESSO input:
```
&SYSTEM
  ibrav = 0, nat = 4, ntyp = 3
/
ATOMIC_SPECIES
Zn 65.41 Zn.upf
Tc 98.00 Tc.upf
Hg 200.59 Hg.upf
CELL_PARAMETERS angstrom
2.9190 0.0000 0.0000
0.0000 2.9190 0.0000
0.0000 0.0000 8.9105
ATOMIC_POSITIONS crystal
Zn 0.0000 0.0000 0.0000
Tc 0.5000 0.5000 0.8070
Hg 0.0000 0.0000 0.5687
Hg 0.5000 0.5000 0.2613
```

- N(E_F): 2.62 states/eV per cell
- ρ: 12.3 g/cm³
- DFT formation energy: 0.389 eV/atom
- Raw total energy: -2.672 eV/atom

=====

No. 7
Zn2TcHg | PBE | relaxed Values from VASP.

Geometry as Quantum ESPRESSO input:
```
&SYSTEM
  ibrav = 0, nat = 8, ntyp = 3
/
ATOMIC_SPECIES
Zn 65.41 Zn.upf
Tc 98.00 Tc.upf
Hg 200.59 Hg.upf
CELL_PARAMETERS angstrom
5.7290 0.0000 0.0000
0.0000 7.8972 0.0000
0.0000 0.0000 2.8543
ATOMIC_POSITIONS crystal
Zn 0.2500 0.2500 0.0000
Zn 0.2500 0.7500 0.0000
Zn 0.7500 0.2500 0.0000
Zn 0.7500 0.7500 0.0000
Tc 0.0000 0.0000 0.5000
Tc 0.5000 0.5000 0.5000
Hg 0.0000 0.5000 0.5000
Hg 0.5000 0.0000 0.5000
```

- N(E_F): 4.52 states/eV per cell
- ρ: 11.0 g/cm³
- DFT formation energy: 0.234 eV/atom
- Raw total energy: -3.070 eV/atom

=====

No. 8
ZnTcHg2 | PBE | relaxed Values from VASP.

Geometry as Quantum ESPRESSO input:
```
&SYSTEM
  ibrav = 0, nat = 8, ntyp = 3
/
ATOMIC_SPECIES
Zn 65.41 Zn.upf
Tc 98.00 Tc.upf
Hg 200.59 Hg.upf
CELL_PARAMETERS angstrom
2.9613 0.0000 0.0000
0.0000 5.2658 0.0000
0.0000 0.0000 9.6320
ATOMIC_POSITIONS crystal
Zn 0.0000 0.0000 0.0000
Zn 0.5000 0.5000 0.0000
Tc 0.0000 0.0000 0.5000
Tc 0.5000 0.5000 0.5000
Hg 0.0000 0.5000 0.2492
Hg 0.0000 0.5000 0.7508
Hg 0.5000 0.0000 0.2492
Hg 0.5000 0.0000 0.7508
```

- N(E_F): 4.80 states/eV per cell
- ρ: 12.5 g/cm³
- DFT formation energy: 0.522 eV/atom
- Raw total energy: -2.539 eV/atom

=====

No. 9
Zn2TcHg | PBE | relaxed Values from VASP.

Geometry as Quantum ESPRESSO input:
```
&SYSTEM
  ibrav = 0, nat = 8, ntyp = 3
/
ATOMIC_SPECIES
Zn 65.41 Zn.upf
Tc 98.00 Tc.upf
Hg 200.59 Hg.upf
CELL_PARAMETERS angstrom
3.0509 0.0000 0.0000
0.0000 4.7678 0.0000
0.0000 0.0000 9.1655
ATOMIC_POSITIONS crystal
Zn 0.0000 0.0000 0.0000
Zn 0.0000 0.5000 0.2335
Zn 0.5000 0.0000 0.2335
Zn 0.5000 0.5000 0.0000
Tc 0.0000 0.0000 0.4633
Tc 0.5000 0.5000 0.4633
Hg 0.0000 0.5000 0.7312
Hg 0.5000 0.0000 0.7312
```

- N(E_F): 4.36 states/eV per cell
- ρ: 10.7 g/cm³
- DFT formation energy: 0.357 eV/atom
- Raw total energy: -2.947 eV/atom

=====

No. 10
ZnTcHg2 | PBE | relaxed Values from VASP.

Geometry as Quantum ESPRESSO input:
```
&SYSTEM
  ibrav = 0, nat = 8, ntyp = 3
/
ATOMIC_SPECIES
Zn 65.41 Zn.upf
Tc 98.00 Tc.upf
Hg 200.59 Hg.upf
CELL_PARAMETERS angstrom
4.0840 0.0000 0.0000
0.0000 4.0840 0.0000
0.0000 0.0000 8.8039
ATOMIC_POSITIONS crystal
Zn 0.0000 0.0000 0.0000
Zn 0.5000 0.5000 0.5000
Tc 0.0000 0.0000 0.5000
Tc 0.5000 0.5000 0.0000
Hg 0.0000 0.5000 0.2500
Hg 0.0000 0.5000 0.7500
Hg 0.5000 0.0000 0.2500
Hg 0.5000 0.0000 0.7500
```

- N(E_F): 6.70 states/eV per cell
- ρ: 12.8 g/cm³
- DFT formation energy: 0.535 eV/atom
- Raw total energy: -2.526 eV/atom

=====

No. 11
Zn2TcHg | PBE | relaxed Values from VASP.

Geometry as Quantum ESPRESSO input:
```
&SYSTEM
  ibrav = 0, nat = 4, ntyp = 3
/
ATOMIC_SPECIES
Zn 65.41 Zn.upf
Tc 98.00 Tc.upf
Hg 200.59 Hg.upf
CELL_PARAMETERS angstrom
3.3137 0.0000 0.0000
0.0000 3.3137 0.0000
0.0000 0.0000 5.9775
ATOMIC_POSITIONS crystal
Zn 0.0000 0.0000 0.2116
Zn 0.0000 0.0000 0.7884
Tc 0.5000 0.5000 0.0000
Hg 0.5000 0.5000 0.5000
```

- N(E_F): 3.23 states/eV per cell
- ρ: 10.9 g/cm³
- DFT formation energy: 0.249 eV/atom
- Raw total energy: -3.055 eV/atom

=====

No. 12
ZnTcHg2 | PBE | relaxed Values from VASP.

Geometry as Quantum ESPRESSO input:
```
&SYSTEM
  ibrav = 0, nat = 16, ntyp = 3
/
ATOMIC_SPECIES
Zn 65.41 Zn.upf
Tc 98.00 Tc.upf
Hg 200.59 Hg.upf
CELL_PARAMETERS angstrom
6.5950 0.0000 0.0000
0.0000 6.5950 0.0000
0.0000 0.0000 6.5950
ATOMIC_POSITIONS crystal
Zn 0.0000 0.0000 0.0000
Zn 0.0000 0.5000 0.5000
Zn 0.5000 0.0000 0.5000
Zn 0.5000 0.5000 0.0000
Tc 0.2500 0.2500 0.7500
Tc 0.2500 0.7500 0.2500
Tc 0.7500 0.2500 0.2500
Tc 0.7500 0.7500 0.7500
Hg 0.0000 0.0000 0.5000
Hg 0.0000 0.5000 0.0000
Hg 0.2500 0.2500 0.2500
Hg 0.2500 0.7500 0.7500
Hg 0.5000 0.0000 0.0000
Hg 0.5000 0.5000 0.5000
Hg 0.7500 0.2500 0.7500
Hg 0.7500 0.7500 0.2500
```

- N(E_F): 17.44 states/eV per cell
- ρ: 13.1 g/cm³
- DFT formation energy: 0.635 eV/atom
- Raw total energy: -2.426 eV/atom